[1]
This record from Alexandria describes a relaxed structure of CoPt. The functional is GGA-PBEsol.

Calculated values
Electronic total energy = -14.8 eV/f.u.

Cell lengths 2.6530, 2.6530, 3.6590 Å; angles 90.00, 90.00, 90.00 degrees
Space group P4/mmm (No. 123)
Inequivalent atoms, fractional coordinates:
1 Co 0.0000 0.0000 0.0000 [1 per cell]
2 Pt 0.5000 0.5000 0.5000 [1 per cell]



[2]
This record from Alexandria describes a relaxed structure of CoPt3. The functional is GGA-PBEsol.

Calculated values
Electronic total energy = -28.6 eV/f.u.

Cell lengths 5.4053, 5.4053, 4.4418 Å; angles 90.00, 90.00, 120.00 degrees
Space group P6_3/mmc (No. 194)
Inequivalent atoms, fractional coordinates:
1 Co 0.3333 0.6667 0.2500 [2 per cell]
2 Pt 0.1688 0.3376 0.7500 [6 per cell]



[3]
This record from Alexandria describes a relaxed structure of Co24Pt5. The functional is GGA-PBEsol.

Calculated values
Electronic total energy = -220.9 eV/f.u.

Cell lengths 8.6799, 8.6799, 8.6799 Å; angles 90.00, 90.00, 90.00 degrees
Space group I-43m (No. 217)
Inequivalent atoms, fractional coordinates:
1 Co 0.0326 0.3580 0.3580 [24 per cell]
2 Co 0.0914 0.0914 0.2838 [24 per cell]
3 Pt 0.0000 0.0000 0.0000 [2 per cell]
4 Pt 0.1841 0.1841 0.8159 [8 per cell]



[4]
This record from Alexandria describes a relaxed structure of CoPt. The functional is GGA-PBEsol.

Calculated values
Electronic total energy = -14.8 eV/f.u.

Cell lengths 3.7054, 3.7054, 7.5111 Å; angles 90.00, 90.00, 90.00 degrees
Space group I4_1/amd (No. 141, origin choice 2)
Inequivalent atoms, fractional coordinates:
1 Co 0.0000 0.2500 0.3750 [4 per cell]
2 Pt 0.0000 0.2500 0.8750 [4 per cell]



Please write out number 4 again, unchanged.
This record from Alexandria describes a relaxed structure of CoPt. The functional is GGA-PBEsol.

Calculated values
Electronic total energy = -14.8 eV/f.u.

Cell lengths 3.7054, 3.7054, 7.5111 Å; angles 90.00, 90.00, 90.00 degrees
Space group I4_1/amd (No. 141, origin choice 2)
Inequivalent atoms, fractional coordinates:
1 Co 0.0000 0.2500 0.3750 [4 per cell]
2 Pt 0.0000 0.2500 0.8750 [4 per cell]



Repeat the fourth record exactly.
This record from Alexandria describes a relaxed structure of CoPt. The functional is GGA-PBEsol.

Calculated values
Electronic total energy = -14.8 eV/f.u.

Cell lengths 3.7054, 3.7054, 7.5111 Å; angles 90.00, 90.00, 90.00 degrees
Space group I4_1/amd (No. 141, origin choice 2)
Inequivalent atoms, fractional coordinates:
1 Co 0.0000 0.2500 0.3750 [4 per cell]
2 Pt 0.0000 0.2500 0.8750 [4 per cell]



Which value of electronic total energy does entry 2 give?
-28.6 eV/f.u.



The lowest electronic total energy belongs to which entry?
Co24Pt5